(1)
The following is a DFT calculation (PBE) of an optimized crystal structure of TiMnGa2.

Calculated values
- E: -70.69 eV per cell
- Density of states at the Fermi level: 4.5 states/eV/f.u.
- Magnetization: 3.2 μB per formula unit

Cell: 2.8899 2.8899 25.9208 Å, 90.00 90.00 120.00°
Last column: nearest neighbours and their distance in Å.
Space group R-3m (No. 166, hexagonal axes)
Inequivalent atoms, fractional coordinates:
Ti: 0.0000 0.0000 0.0000 [3 per cell]  6 Ga 2.80, 6 Ti 2.89
Mn: 0.0000 0.0000 0.5000 [3 per cell]  6 Ga 2.66, 6 Mn 2.89
Ga: 0.0000 0.0000 0.2467 [6 per cell]  3 Mn 2.66, 3 Ti 2.80, 6 Ga 2.89

(2)
The following is a DFT calculation (PBE) of an optimized crystal structure of YMg3Rh.

Calculated values
- E: -10.37 eV per cell
- Density of states at the Fermi level: 7.1 states/eV/f.u.
- Distance to the lowest polymorph of the same formula: 2022.9 meV per atom
- Magnetization: 0.4 μB per formula unit

Cell: 5.6584 5.6584 5.6584 Å, 90.00 90.00 90.00°
Last column: nearest neighbours and their distance in Å.
Space group Pm-3m (No. 221)
Inequivalent atoms, fractional coordinates:
Y: 0.0000 0.0000 0.0000 [1 per cell]  6 Mg 2.83
Mg: 0.0000 0.0000 0.5000 [3 per cell]  2 Y 2.83
Rh: 0.5000 0.5000 0.5000 [1 per cell]  12 Mg 4.00

(3)
The following is a DFT calculation (PBE) of an optimized crystal structure of Cd2InHg.

Calculated values
- E: -9.53 eV per cell
- Density of states at the Fermi level: 1.1 states/eV/f.u.
- Distance to the lowest polymorph of the same formula: 7.4 meV per atom
- Magnetization: 0.0 μB per formula unit

Cell: 6.2316 10.9552 3.4404 Å, 90.00 121.81 90.00°
Last column: nearest neighbours and their distance in Å.
Space group C2/m (No. 12)
Inequivalent atoms, fractional coordinates:
Cd: 0.2500 0.2500 0.0000 [4 per cell]  6 Cd 3.12-3.44, 2 In 3.17, 2 Hg 3.17
In: 0.0000 0.0000 0.5000 [2 per cell]  4 Hg 3.12-3.20, 4 Cd 3.17, 2 In 3.44
Hg: 0.0000 0.5000 0.5000 [2 per cell]  4 In 3.12-3.20, 4 Cd 3.17, 2 Hg 3.44

(4)
The following is a DFT calculation (PBE) of an optimized crystal structure of Ti6Pb3C.

Calculated values
- E: -137.04 eV per cell
- Density of states at the Fermi level: 13.0 states/eV/f.u.
- Magnetization: 0.0 μB per formula unit

Cell: 10.0392 5.8266 7.2868 Å, 90.00 112.41 90.00°
Last column: nearest neighbours and their distance in Å.
Space group C2/m (No. 12)
Inequivalent atoms, fractional coordinates:
Ti: 0.1021 0.2460 0.3902 [8 per cell]  1 C 2.09
Ti: 0.1772 0.0000 0.7704 [4 per cell]  1 C 2.09
Pb: 0.0000 0.5000 0.0000 [2 per cell]  6 Ti 3.02-3.03, 2 Pb 3.16
Pb: 0.2135 0.5000 0.7745 [4 per cell]  9 Ti 2.93-3.28, 1 Pb 3.16
C: 0.0000 0.0000 0.5000 [2 per cell]  6 Ti 2.09